No. 1
Material: Ca2FeAg
Method: DFT, GGA-PBE
State: relaxed

Summary:
The value obtained for the formation energy from the elements is 190.0 meV per atom. The calculation puts the polymorph energy (0 for the lowest one) at 18.0 meV/atom. The magnetic moment is 2.161 μB per formula unit. For the calculated total energy, the calculation gives -0.267 Ry/atom. As for the density of states at the Fermi level: 4.64 states/eV/cell.

Cell: 3.4671 3.4671 7.9224 Å, 90.00 90.00 90.00°
With the nearest neighbours (Å) after each atom.
Space group P4/mmm (No. 123)
Asymmetric unit:
Ca1 0.0000 0.0000 0.2370 [2 per cell]  4 Fe 3.09, 4 Ag 3.22
Fe1 0.5000 0.5000 0.0000 [1 per cell]  8 Ca 3.09
Ag1 0.5000 0.5000 0.5000 [1 per cell]  8 Ca 3.22, 4 Ag 3.47

***

No. 2
Material: Ca2FeAg
Method: DFT, GGA-PBE
State: relaxed

Summary:
The value obtained for the formation energy from the elements is 401.5 meV per atom. The calculation puts the polymorph energy (0 for the lowest one) at 229.4 meV/atom. The magnetic moment is 2.343 μB per formula unit. For the calculated total energy, the calculation gives -0.252 Ry/atom. As for the density of states at the Fermi level: 11.20 states/eV/cell.

Cell: 3.6231 3.6231 27.1511 Å, 90.00 90.00 120.00°
With the nearest neighbours (Å) after each atom.
Space group R-3m (No. 166, hexagonal axes)
Asymmetric unit:
Ca1 0.0000 0.0000 0.2463 [6 per cell]  3 Fe 3.01, 3 Ag 3.16
Fe1 0.0000 0.0000 0.5000 [3 per cell]  6 Ca 3.01
Ag1 0.0000 0.0000 0.0000 [3 per cell]  6 Ca 3.16

***

No. 3
Material: Ca2FeAg
Method: DFT, GGA-PBE
State: relaxed

Summary:
The value obtained for the formation energy from the elements is 255.1 meV per atom. The calculation puts the polymorph energy (0 for the lowest one) at 83.0 meV/atom. The magnetic moment is 2.178 μB per formula unit. For the calculated total energy, the calculation gives -0.263 Ry/atom. As for the density of states at the Fermi level: 48.59 states/eV/cell.

Cell: 7.2945 7.2945 7.2945 Å, 90.00 90.00 90.00°
With the nearest neighbours (Å) after each atom.
Space group Fm-3m (No. 225)
Asymmetric unit:
Ca1 0.2500 0.2500 0.2500 [8 per cell]  4 Ag 3.16, 4 Fe 3.16
Fe1 0.0000 0.0000 0.0000 [4 per cell]  8 Ca 3.16
Ag1 0.0000 0.0000 0.5000 [4 per cell]  8 Ca 3.16

***

No. 4
Material: Ca2FeAg
Method: DFT, GGA-PBE
State: relaxed

Summary:
The value obtained for the formation energy from the elements is 387.1 meV per atom. The calculation puts the polymorph energy (0 for the lowest one) at 215.1 meV/atom. The magnetic moment is 2.523 μB per formula unit. For the calculated total energy, the calculation gives -0.253 Ry/atom. As for the density of states at the Fermi level: 19.97 states/eV/cell.

Cell: 7.1678 7.1678 7.1678 Å, 90.00 90.00 90.00°
With the nearest neighbours (Å) after each atom.
Space group F-43m (No. 216)
Asymmetric unit:
Ca1 0.0000 0.0000 0.0000 [4 per cell]  4 Fe 3.10, 4 Ca 3.10
Ca2 0.2500 0.2500 0.2500 [4 per cell]  4 Ca 3.10, 4 Ag 3.10
Fe1 0.2500 0.2500 0.7500 [4 per cell]  4 Ca 3.10, 4 Ag 3.10
Ag1 0.0000 0.0000 0.5000 [4 per cell]  4 Fe 3.10, 4 Ca 3.10

***

No. 5
Material: Ca2FeAgHg
Method: DFT, GGA-PBE
State: relaxed

Summary:
The value obtained for the formation energy from the elements is 310.1 meV per atom. The magnetic moment is 1.945 μB per formula unit. For the calculated total energy, the calculation gives -0.207 Ry/atom. As for the density of states at the Fermi level: 5.42 states/eV/cell.

Cell: 5.4030 5.4030 4.8125 Å, 90.00 90.00 90.00°
With the nearest neighbours (Å) after each atom.
Space group P4/mmm (No. 123)
Asymmetric unit:
Ca1 0.0000 0.5000 0.0000 [2 per cell]  2 Fe 2.70
Fe1 0.0000 0.0000 0.0000 [1 per cell]  2 Ag 2.41
Ag1 0.0000 0.0000 0.5000 [1 per cell]  2 Fe 2.41
Hg1 0.5000 0.5000 0.5000 [1 per cell]  8 Ca 3.62, 4 Ag 3.82

***

No. 6
Material: Ca2FeAgIr
Method: DFT, GGA-PBE
State: relaxed

Summary:
The value obtained for the formation energy from the elements is 958.0 meV per atom. The magnetic moment is 3.173 μB per formula unit. For the calculated total energy, the calculation gives -0.285 Ry/atom. As for the density of states at the Fermi level: 5.69 states/eV/cell.

Cell: 5.3635 5.3635 4.6722 Å, 90.00 90.00 90.00°
With the nearest neighbours (Å) after each atom.
Space group P4/mmm (No. 123)
Asymmetric unit:
Ca1 0.0000 0.5000 0.0000 [2 per cell]  2 Ag 2.68
Fe1 0.0000 0.0000 0.5000 [1 per cell]  2 Ag 2.34
Ag1 0.0000 0.0000 0.0000 [1 per cell]  2 Fe 2.34
Ir1 0.5000 0.5000 0.5000 [1 per cell]  8 Ca 3.56, 4 Fe 3.79